# 1
Density functional theory data (GGA-PBEsol) for a relaxed MgCr2Os crystal.

```
MgCr2Os
1.0
1.3380 0.7725 8.8772
-1.3380 0.7725 8.8772
0.0000 -1.5449 8.8772
Mg Cr Os
1 2 1
Direct
0.0000 0.0000 0.0000 Mg
0.2443 0.2443 0.2443 Cr
0.7557 0.7557 0.7557 Cr
0.5000 0.5000 0.5000 Os
```

DFT formation energy	0.454	eV/atom
total moment	0.0	μB/cell


# 2
Density functional theory data (GGA-PBEsol) for a relaxed MgGa2O4 crystal.

```
MgGa2O4
1.0
5.0670 -2.9589 0.0000
5.0670 2.9589 0.0000
-0.0339 0.0000 14.3391
Mg Ga O
6 12 24
Direct
0.0000 0.0000 0.0000 Mg
0.0053 0.0053 0.6249 Mg
0.1667 0.1667 0.1662 Mg
0.3328 0.3328 0.3328 Mg
0.5008 0.5008 0.4982 Mg
0.8346 0.8346 0.8342 Mg
0.1669 0.6666 0.1664 Ga
0.3265 0.3265 0.7071 Ga
0.3296 0.8357 0.8346 Ga
0.3407 0.3407 0.9573 Ga
0.5016 0.9955 0.4983 Ga
0.6600 0.6600 0.0447 Ga
0.6666 0.1669 0.1664 Ga
0.6666 0.6666 0.6617 Ga
0.6733 0.6733 0.2861 Ga
0.8357 0.3296 0.8346 Ga
0.9929 0.9929 0.3775 Ga
0.9955 0.5016 0.4983 Ga
0.0073 0.0073 0.7631 O
0.0179 0.4990 0.2449 O
0.1646 0.1646 0.9132 O
0.1663 0.6497 0.4203 O
0.1671 0.6809 0.9133 O
0.1706 0.1706 0.4210 O
0.3162 0.8341 0.0868 O
0.3294 0.3294 0.5766 O
0.3378 0.3378 0.0890 O
0.3657 0.8258 0.5794 O
0.4947 0.4947 0.2447 O
0.4990 0.0179 0.2449 O
0.5062 0.9773 0.7504 O
0.5076 0.5076 0.7507 O
0.6497 0.1663 0.4203 O
0.6618 0.6618 0.9104 O
0.6699 0.6699 0.4172 O
0.6809 0.1671 0.9133 O
0.8210 0.8210 0.5780 O
0.8258 0.3657 0.5794 O
0.8341 0.3162 0.0868 O
0.8381 0.8381 0.0871 O
0.9773 0.5062 0.7504 O
0.9958 0.9958 0.2445 O
```

E_form (uncorrected)	-2183	meV/atom
total moment	0.0	μB/cell


# 3
Density functional theory data (GGA-PBEsol) for a relaxed Li3VF6 crystal.

```
Li3VF6
1.0
4.5556 -2.6633 0.0000
4.5556 2.6633 0.0000
-4.3897 0.0000 8.4866
Li V F
6 2 12
Direct
0.0813 0.0813 0.3328 Li
0.2556 0.2556 0.7131 Li
0.4117 0.4117 0.1656 Li
0.5883 0.5883 0.8344 Li
0.7444 0.7444 0.2869 Li
0.9187 0.9187 0.6672 Li
0.0000 0.0000 0.0000 V
0.5000 0.5000 0.5000 V
0.1643 0.6702 0.3360 F
0.1744 0.6757 0.8304 F
0.2050 0.2050 0.9998 F
0.2936 0.2936 0.5164 F
0.3243 0.8256 0.1696 F
0.3298 0.8357 0.6640 F
0.6702 0.1643 0.3360 F
0.6757 0.1744 0.8304 F
0.7064 0.7064 0.4836 F
0.7950 0.7950 0.0002 F
0.8256 0.3243 0.1696 F
0.8357 0.3298 0.6640 F
```

E_form (uncorrected)	-2904	meV/atom
total moment	4.0	μB/cell